# GGA-PBE HfCoPt3, relaxed
# Distance to the lowest polymorph of the same formula ... 667 meV per atom
# Space group ... Pm-3m
# Energy relative to the elements ... 1053 meV per atom
# N(E_F) ... 4.0 states/eV/f.u.
# Total magnetization ... 0.482 μB per atom
data_HfCoPt3
_cell_length_a 4.894
_cell_length_b 4.894
_cell_length_c 4.894
_cell_angle_alpha 90.00
_cell_angle_beta 90.00
_cell_angle_gamma 90.00
_space_group_name_H-M_alt 'P 1'
_space_group_IT_number 1
_space_group_name_Hall 'P 1'
loop_
_atom_site_label
_atom_site_fract_x
_atom_site_fract_y
_atom_site_fract_z
_atom_site_occupancy
Hf1 0.000 0.000 0.000 1
Co1 0.500 0.500 0.500 1
Pt1 0.000 0.000 0.500 1
Pt2 0.000 0.500 0.000 1
Pt3 0.500 0.000 0.000 1